Below is a relaxed structure of YErZr2Bi2, with properties calculated at the PBE level.

Cell: 8.9566 8.9566 8.9566 Å, 152.10 152.10 39.87°
Positions (direct):
1 Zr 0.5003 0.0003 0.5000
2 Zr 0.0003 0.5003 0.5000
3 Bi 0.8648 0.8648 0.0000
4 Bi 0.1355 0.1355 0.0000
5 Y 0.3235 0.3235 0.0000
6 Er 0.6754 0.6754 0.0000

Output
* calculated total energy: -6.5880 eV/atom
* volume: 157.0 Å³/f.u.
* crystal system: tetragonal
* total moment: 0.030 μB/atom